Run A
Compound: Pa2IrRh
Source: Alexandria
Functional: GGA-PBE
Structure: relaxed

Cell lengths 6.334, 6.334, 8.732 Å; angles 88.72, 88.79, 66.89 degrees
Fractional positions:
Pa  0.145  0.147  0.100
Pa  0.150  0.150  0.639
Pa  0.351  0.350  0.861
Pa  0.354  0.354  0.400
Pa  0.646  0.646  0.600
Pa  0.649  0.650  0.139
Pa  0.850  0.850  0.361
Pa  0.855  0.853  0.900
Ir  0.129  0.686  0.630
Ir  0.187  0.628  0.131
Ir  0.813  0.372  0.869
Ir  0.871  0.314  0.370
Rh  0.311  0.879  0.368
Rh  0.378  0.811  0.868
Rh  0.622  0.189  0.132
Rh  0.689  0.121  0.632


Run B
Compound: Pa2IrRh
Source: Alexandria
Functional: GGA-PBE
Structure: relaxed

Cell lengths 3.456, 3.456, 6.884 Å; angles 90.00, 90.00, 90.00 degrees
Fractional positions:
Pa  0.000  0.000  0.247
Pa  0.000  0.000  0.753
Ir  0.500  0.500  0.000
Rh  0.500  0.500  0.500


Run C
Compound: Pa2IrRh
Source: Alexandria
Functional: GGA-PBE
Structure: relaxed

Cell lengths 4.344, 4.344, 4.180 Å; angles 90.00, 90.00, 90.00 degrees
Fractional positions:
Pa  0.000  0.500  0.000
Pa  0.500  0.000  0.000
Ir  0.000  0.000  0.500
Rh  0.500  0.500  0.500


Most stable: run A. Least stable: run C.


Run A
Compound: TbPaIrRh
Source: Alexandria
Functional: GGA-PBE
Structure: relaxed

Cell lengths 4.884, 4.884, 4.884 Å; angles 60.00, 60.00, 60.00 degrees
Fractional positions:
Tb  0.000  0.000  0.000
Pa  0.500  0.500  0.500
Ir  0.750  0.750  0.750
Rh  0.250  0.250  0.250


Run B
Compound: TbPaIrRh
Source: Alexandria
Functional: GGA-PBE
Structure: relaxed

Cell lengths 4.170, 5.726, 5.726 Å; angles 38.54, 90.00, 90.00 degrees
Fractional positions:
Tb  0.000  0.000  0.000
Pa  0.500  0.277  0.277
Ir  0.000  0.735  0.735
Rh  0.500  0.544  0.544


Most stable: run B. Least stable: run A.


Run A
Compound: TmPaIrRh
Source: Alexandria
Functional: GGA-PBE
Structure: relaxed

Cell lengths 4.238, 5.555, 5.555 Å; angles 39.49, 90.00, 90.00 degrees
Fractional positions:
Tm  0.000  0.000  0.000
Pa  0.500  0.719  0.719
Ir  0.000  0.271  0.271
Rh  0.500  0.462  0.462


Run B
Compound: TmPaIrRh
Source: Alexandria
Functional: GGA-PBE
Structure: relaxed

Cell lengths 4.855, 4.855, 4.855 Å; angles 60.00, 60.00, 60.00 degrees
Fractional positions:
Tm  0.000  0.000  0.000
Pa  0.500  0.500  0.500
Ir  0.250  0.250  0.250
Rh  0.750  0.750  0.750


Most stable: run A. Least stable: run B.


Run A
Compound: YPaIrRh
Source: Alexandria
Functional: GGA-PBE
Structure: relaxed

Cell lengths 4.212, 5.674, 5.674 Å; angles 38.82, 90.00, 90.00 degrees
Fractional positions:
Y  0.000  0.000  0.000
Pa  0.500  0.278  0.278
Ir  0.000  0.733  0.733
Rh  0.500  0.544  0.544


Run B
Compound: YPaIrRh
Source: Alexandria
Functional: GGA-PBE
Structure: relaxed

Cell lengths 4.883, 4.883, 4.883 Å; angles 60.00, 60.00, 60.00 degrees
Fractional positions:
Y  0.000  0.000  0.000
Pa  0.500  0.500  0.500
Ir  0.750  0.750  0.750
Rh  0.250  0.250  0.250


Most stable: run A. Least stable: run B.


Run A
Compound: PaIrRu
Source: Alexandria
Functional: GGA-PBE
Structure: relaxed

Cell lengths 4.653, 4.653, 5.743 Å; angles 90.00, 90.00, 119.95 degrees
Fractional positions:
Pa  0.166  0.834  0.750
Pa  0.834  0.166  0.250
Ir  0.500  0.500  0.000
Ir  0.500  0.500  0.500
Ru  0.164  0.836  0.250
Ru  0.836  0.164  0.750


Run B
Compound: PaIrRu
Source: Alexandria
Functional: GGA-PBE
Structure: relaxed

Cell lengths 4.321, 4.321, 3.678 Å; angles 90.00, 90.00, 120.00 degrees
Fractional positions:
Pa  0.000  0.000  0.000
Ir  0.333  0.667  0.500
Ru  0.667  0.333  0.500


Run C
Compound: PaIrRu
Source: Alexandria
Functional: GGA-PBE
Structure: relaxed

Cell lengths 5.460, 5.460, 5.460 Å; angles 129.26, 116.60, 85.38 degrees
Fractional positions:
Pa  0.189  0.189  0.000
Pa  0.811  0.811  0.000
Ir  0.245  0.500  0.745
Ir  0.755  0.500  0.255
Ru  0.330  0.830  0.500
Ru  0.670  0.170  0.500


Most stable: run A. Least stable: run B.


Run A
Compound: PaIr2Ru
Source: Alexandria
Functional: GGA-PBE
Structure: relaxed

Cell lengths 4.045, 4.045, 4.122 Å; angles 90.00, 90.00, 90.00 degrees
Fractional positions:
Pa  0.000  0.000  0.000
Ir  0.000  0.500  0.500
Ir  0.500  0.000  0.500
Ru  0.500  0.500  0.000


Run B
Compound: PaIr2Ru
Source: Alexandria
Functional: GGA-PBE
Structure: relaxed

Cell lengths 4.708, 4.708, 4.708 Å; angles 58.68, 58.68, 58.68 degrees
Fractional positions:
Pa  0.000  0.000  0.000
Ir  0.273  0.273  0.273
Ir  0.727  0.727  0.727
Ru  0.500  0.500  0.500


Most stable: run A. Least stable: run B.


Run A
Compound: ScPaIr
Source: Alexandria
Functional: GGA-PBE
Structure: relaxed

Cell lengths 5.641, 5.641, 5.641 Å; angles 143.51, 143.51, 52.57 degrees
Fractional positions:
Sc  0.000  0.000  0.000
Pa  0.697  0.697  0.000
Ir  0.327  0.327  0.000


Run B
Compound: ScPaIr
Source: Alexandria
Functional: GGA-PBE
Structure: relaxed

Cell lengths 4.730, 4.730, 3.051 Å; angles 90.00, 90.00, 120.00 degrees
Fractional positions:
Sc  0.000  0.000  0.000
Pa  0.333  0.667  0.357
Ir  0.667  0.333  0.648


Run C
Compound: ScPaIr
Source: Alexandria
Functional: GGA-PBE
Structure: relaxed

Cell lengths 4.669, 4.669, 4.669 Å; angles 60.00, 60.00, 60.00 degrees
Fractional positions:
Sc  0.000  0.000  0.000
Pa  0.500  0.500  0.500
Ir  0.250  0.250  0.250


Run D
Compound: ScPaIr
Source: Alexandria
Functional: GGA-PBE
Structure: relaxed

Cell lengths 5.161, 4.708, 5.483 Å; angles 90.00, 112.57, 90.00 degrees
Fractional positions:
Sc  0.093  0.250  0.185
Sc  0.907  0.750  0.815
Pa  0.433  0.250  0.799
Pa  0.567  0.750  0.201
Ir  0.193  0.750  0.480
Ir  0.807  0.250  0.520


Most stable: run D. Least stable: run B.


Run A
Compound: PaSi2Ir4
Source: Alexandria
Functional: GGA-PBE
Structure: relaxed

Cell lengths 16.795, 4.065, 6.591 Å; angles 90.00, 90.00, 90.00 degrees
Fractional positions:
Pa  0.141  0.250  0.025
Pa  0.359  0.750  0.525
Pa  0.641  0.250  0.475
Pa  0.859  0.750  0.975
Si  0.037  0.750  0.263
Si  0.208  0.250  0.575
Si  0.292  0.750  0.075
Si  0.463  0.250  0.763
Si  0.537  0.750  0.237
Si  0.708  0.250  0.925
Si  0.792  0.750  0.425
Si  0.963  0.250  0.737
Ir  0.034  0.750  0.870
Ir  0.066  0.250  0.488
Ir  0.177  0.750  0.356
Ir  0.209  0.750  0.773
Ir  0.291  0.250  0.273
Ir  0.323  0.250  0.856
Ir  0.434  0.750  0.988
Ir  0.466  0.250  0.370
Ir  0.534  0.750  0.630
Ir  0.566  0.250  0.012
Ir  0.677  0.750  0.144
Ir  0.709  0.750  0.727
Ir  0.791  0.250  0.227
Ir  0.823  0.250  0.644
Ir  0.934  0.750  0.512
Ir  0.966  0.250  0.130


Run B
Compound: PaSi2Ir4
Source: Alexandria
Functional: GGA-PBE
Structure: relaxed

Cell lengths 7.075, 7.075, 4.112 Å; angles 90.00, 90.00, 146.67 degrees
Fractional positions:
Pa  0.000  0.000  0.000
Si  0.413  0.587  0.500
Si  0.587  0.413  0.500
Ir  0.176  0.824  0.500
Ir  0.329  0.671  0.000
Ir  0.671  0.329  0.000
Ir  0.824  0.176  0.500


Most stable: run A. Least stable: run B.